(1)
RbSbSI2 after structural relaxation. Source: the Alexandria database, functional GGA-PBE.

- Formation energy without anion corrections: 805 meV per atom
- Total magnetic moment: 5.44 Bohr magnetons per cell
- Space group: P4/mmm (123)

Cell and atoms, written as CIF:
```
data_RbSbSI2
_chemical_formula_sum 'Rb1 Sb1 S1 I2'
_symmetry_space_group_name_H-M 'P 1'
_symmetry_Int_Tables_number 1
_cell_length_a 6.9759
_cell_length_b 6.9759
_cell_length_c 7.5387
_cell_angle_alpha 90.00
_cell_angle_beta 90.00
_cell_angle_gamma 90.00
loop_
_symmetry_equiv_pos_as_xyz
'x,y,z'
loop_
_atom_site_label
_atom_site_fract_x
_atom_site_fract_y
_atom_site_fract_z
Rb1 0.0000 0.0000 0.0000
Sb1 0.0000 0.0000 0.5000
S1 0.5000 0.5000 0.5000
I1 0.0000 0.5000 0.0000
I2 0.5000 0.0000 0.0000
```

***

(2)
Cs2ScUTe4 after structural relaxation. Source: the Alexandria database, functional GGA-PBE.

- Formation energy without anion corrections: -1021 meV per atom
- Total magnetic moment: 3.01 Bohr magnetons per cell
- Space group: P2/m (10)

Cell and atoms, written as CIF:
```
data_Cs2ScUTe4
_chemical_formula_sum 'Cs2 Sc1 U1 Te4'
_symmetry_space_group_name_H-M 'P 1'
_symmetry_Int_Tables_number 1
_cell_length_a 7.7406
_cell_length_b 4.4764
_cell_length_c 9.2883
_cell_angle_alpha 90.00
_cell_angle_beta 106.12
_cell_angle_gamma 90.00
loop_
_symmetry_equiv_pos_as_xyz
'x,y,z'
loop_
_atom_site_label
_atom_site_fract_x
_atom_site_fract_y
_atom_site_fract_z
Cs1 0.0000 0.0000 0.0000
Cs2 0.5000 0.5000 0.0000
Sc1 0.0000 0.5000 0.5000
U1 0.5000 0.0000 0.5000
Te1 0.2161 0.0000 0.6834
Te2 0.2582 0.5000 0.3105
Te3 0.7418 0.5000 0.6895
Te4 0.7839 0.0000 0.3166
```

***

(3)
PrTlPb3 after structural relaxation. Source: the Alexandria database, functional GGA-PBE.

- ΔE_f: 0.07 eV per atom
- Total magnetic moment: 0.00 Bohr magnetons per cell
- Space group: Cmcm (63)

Cell and atoms, written as CIF:
```
data_PrTlPb3
_chemical_formula_sum 'Pr2 Tl2 Pb6'
_symmetry_space_group_name_H-M 'P 1'
_symmetry_Int_Tables_number 1
_cell_length_a 8.2089
_cell_length_b 8.2089
_cell_length_c 5.9221
_cell_angle_alpha 90.00
_cell_angle_beta 90.00
_cell_angle_gamma 112.67
loop_
_symmetry_equiv_pos_as_xyz
'x,y,z'
loop_
_atom_site_label
_atom_site_fract_x
_atom_site_fract_y
_atom_site_fract_z
Pr1 0.2216 0.7784 0.7500
Pr2 0.7784 0.2216 0.2500
Tl1 0.4539 0.5461 0.7500
Tl2 0.5461 0.4539 0.2500
Pb1 0.0000 0.0000 0.0000
Pb2 0.0000 0.0000 0.5000
Pb3 0.1651 0.5050 0.2500
Pb4 0.4950 0.8349 0.2500
Pb5 0.5050 0.1651 0.7500
Pb6 0.8349 0.4950 0.7500
```

***

(4)
NbReSe2Br after structural relaxation. Source: the Alexandria database, functional GGA-PBE.

- Formation energy without anion corrections: 959 meV per atom
- Total magnetic moment: 3.84 Bohr magnetons per cell
- Space group: P4/mmm (123)

Cell and atoms, written as CIF:
```
data_NbReSe2Br
_chemical_formula_sum 'Nb1 Re1 Se2 Br1'
_symmetry_space_group_name_H-M 'P 1'
_symmetry_Int_Tables_number 1
_cell_length_a 4.8126
_cell_length_b 4.8126
_cell_length_c 5.2438
_cell_angle_alpha 90.00
_cell_angle_beta 90.00
_cell_angle_gamma 90.00
loop_
_symmetry_equiv_pos_as_xyz
'x,y,z'
loop_
_atom_site_label
_atom_site_fract_x
_atom_site_fract_y
_atom_site_fract_z
Nb1 0.0000 0.0000 0.0000
Re1 0.5000 0.5000 0.5000
Se1 0.0000 0.5000 0.5000
Se2 0.5000 0.0000 0.5000
Br1 0.5000 0.5000 0.0000
```

***

(5)
Tl2Cd3Hg4 after structural relaxation. Source: the Alexandria database, functional GGA-PBE.

- ΔE_f: 0.01 eV per atom
- Total magnetic moment: 0.00 Bohr magnetons per cell
- Space group: Cmce (64)

Cell and atoms, written as CIF:
```
data_Tl2Cd3Hg4
_chemical_formula_sum 'Tl4 Cd6 Hg8'
_symmetry_space_group_name_H-M 'P 1'
_symmetry_Int_Tables_number 1
_cell_length_a 9.0477
_cell_length_b 9.0477
_cell_length_c 9.1383
_cell_angle_alpha 90.00
_cell_angle_beta 90.00
_cell_angle_gamma 139.16
loop_
_symmetry_equiv_pos_as_xyz
'x,y,z'
loop_
_atom_site_label
_atom_site_fract_x
_atom_site_fract_y
_atom_site_fract_z
Tl1 0.1059 0.8941 0.9092
Tl2 0.3941 0.6059 0.4092
Tl3 0.6059 0.3941 0.5908
Tl4 0.8941 0.1059 0.0908
Cd1 0.0000 0.0000 0.5000
Cd2 0.0170 0.4830 0.7500
Cd3 0.4830 0.0170 0.2500
Cd4 0.5000 0.5000 0.0000
Cd5 0.5170 0.9830 0.7500
Cd6 0.9830 0.5170 0.2500
Hg1 0.1803 0.8197 0.5219
Hg2 0.1943 0.3057 0.7500
Hg3 0.3057 0.1943 0.2500
Hg4 0.3197 0.6803 0.0219
Hg5 0.6803 0.3197 0.9781
Hg6 0.6943 0.8057 0.7500
Hg7 0.8057 0.6943 0.2500
Hg8 0.8197 0.1803 0.4781
```

***

(6)
LaInSe2I after structural relaxation. Source: the Alexandria database, functional GGA-PBE.

- Formation energy without anion corrections: 115 meV per atom
- Total magnetic moment: 0.52 Bohr magnetons per cell
- Space group: P4/mmm (123)

Cell and atoms, written as CIF:
```
data_LaInSe2I
_chemical_formula_sum 'La1 In1 Se2 I1'
_symmetry_space_group_name_H-M 'P 1'
_symmetry_Int_Tables_number 1
_cell_length_a 5.5417
_cell_length_b 5.5417
_cell_length_c 5.6822
_cell_angle_alpha 90.00
_cell_angle_beta 90.00
_cell_angle_gamma 90.00
loop_
_symmetry_equiv_pos_as_xyz
'x,y,z'
loop_
_atom_site_label
_atom_site_fract_x
_atom_site_fract_y
_atom_site_fract_z
La1 0.0000 0.0000 0.0000
In1 0.5000 0.5000 0.0000
Se1 0.0000 0.5000 0.5000
Se2 0.5000 0.0000 0.5000
I1 0.5000 0.5000 0.5000
```

***

(7)
KZnMo after structural relaxation. Source: the Alexandria database, functional GGA-PBE.

- ΔE_f: 0.83 eV per atom
- Total magnetic moment: 0.00 Bohr magnetons per cell
- Space group: Imm2 (44)

Cell and atoms, written as CIF:
```
data_KZnMo
_chemical_formula_sum 'K2 Zn2 Mo2'
_symmetry_space_group_name_H-M 'P 1'
_symmetry_Int_Tables_number 1
_cell_length_a 2.6264
_cell_length_b 4.3827
_cell_length_c 12.6950
_cell_angle_alpha 90.00
_cell_angle_beta 90.00
_cell_angle_gamma 90.00
loop_
_symmetry_equiv_pos_as_xyz
'x,y,z'
loop_
_atom_site_label
_atom_site_fract_x
_atom_site_fract_y
_atom_site_fract_z
K1 0.0000 0.0000 0.0000
K2 0.5000 0.5000 0.5000
Zn1 0.0000 0.0000 0.2863
Zn2 0.5000 0.5000 0.7863
Mo1 0.0000 0.0000 0.7228
Mo2 0.5000 0.5000 0.2228
```

***

(8)
Ca4TaCo after structural relaxation. Source: the Alexandria database, functional GGA-PBE.

- ΔE_f: 1.32 eV per atom
- Total magnetic moment: 5.58 Bohr magnetons per cell
- Space group: F-43m (216)

Cell and atoms, written as CIF:
```
data_Ca4TaCo
_chemical_formula_sum 'Ca4 Ta1 Co1'
_symmetry_space_group_name_H-M 'P 1'
_symmetry_Int_Tables_number 1
_cell_length_a 6.2974
_cell_length_b 6.2974
_cell_length_c 6.2974
_cell_angle_alpha 60.00
_cell_angle_beta 60.00
_cell_angle_gamma 60.00
loop_
_symmetry_equiv_pos_as_xyz
'x,y,z'
loop_
_atom_site_label
_atom_site_fract_x
_atom_site_fract_y
_atom_site_fract_z
Ca1 0.1249 0.1249 0.1249
Ca2 0.1249 0.1249 0.6252
Ca3 0.1249 0.6252 0.1249
Ca4 0.6252 0.1249 0.1249
Ta1 0.5000 0.5000 0.5000
Co1 0.7500 0.7500 0.7500
```

***

(9)
UFe2As after structural relaxation. Source: the Alexandria database, functional GGA-PBE.

- ΔE_f: -0.16 eV per atom
- Total magnetic moment: 1.83 Bohr magnetons per cell
- Space group: R-3m (166)

Cell and atoms, written as CIF:
```
data_UFe2As
_chemical_formula_sum 'U3 Fe6 As3'
_symmetry_space_group_name_H-M 'P 1'
_symmetry_Int_Tables_number 1
_cell_length_a 3.8824
_cell_length_b 3.8824
_cell_length_c 13.8413
_cell_angle_alpha 90.00
_cell_angle_beta 90.00
_cell_angle_gamma 120.00
loop_
_symmetry_equiv_pos_as_xyz
'x,y,z'
loop_
_atom_site_label
_atom_site_fract_x
_atom_site_fract_y
_atom_site_fract_z
U1 0.0000 0.0000 0.0000
U2 0.3333 0.6667 0.6667
U3 0.6667 0.3333 0.3333
Fe1 0.0000 0.0000 0.2198
Fe2 0.0000 0.0000 0.7802
Fe3 0.3333 0.6667 0.4468
Fe4 0.3333 0.6667 0.8865
Fe5 0.6667 0.3333 0.1135
Fe6 0.6667 0.3333 0.5532
As1 0.0000 0.0000 0.5000
As2 0.3333 0.6667 0.1667
As3 0.6667 0.3333 0.8333
```

***

(10)
Li2ScAg2 after structural relaxation. Source: the Alexandria database, functional GGA-PBE.

- ΔE_f: -0.07 eV per atom
- Total magnetic moment: 0.00 Bohr magnetons per cell
- Space group: P4/mbm (127)

Cell and atoms, written as CIF:
```
data_Li2ScAg2
_chemical_formula_sum 'Li4 Sc2 Ag4'
_symmetry_space_group_name_H-M 'P 1'
_symmetry_Int_Tables_number 1
_cell_length_a 7.6379
_cell_length_b 7.6379
_cell_length_c 3.1074
_cell_angle_alpha 90.00
_cell_angle_beta 90.00
_cell_angle_gamma 90.00
loop_
_symmetry_equiv_pos_as_xyz
'x,y,z'
loop_
_atom_site_label
_atom_site_fract_x
_atom_site_fract_y
_atom_site_fract_z
Li1 0.1526 0.3474 0.0000
Li2 0.3474 0.8474 0.0000
Li3 0.6526 0.1526 0.0000
Li4 0.8474 0.6526 0.0000
Sc1 0.0000 0.0000 0.5000
Sc2 0.5000 0.5000 0.5000
Ag1 0.1416 0.6416 0.5000
Ag2 0.3584 0.1416 0.5000
Ag3 0.6416 0.8584 0.5000
Ag4 0.8584 0.3584 0.5000
```

***

(11)
Mo2RuCl after structural relaxation. Source: the Alexandria database, functional GGA-PBE.

- Formation energy without anion corrections: 701 meV per atom
- Total magnetic moment: 0.00 Bohr magnetons per cell
- Space group: C2/m (12)

Cell and atoms, written as CIF:
```
data_Mo2RuCl
_chemical_formula_sum 'Mo4 Ru2 Cl2'
_symmetry_space_group_name_H-M 'P 1'
_symmetry_Int_Tables_number 1
_cell_length_a 5.3141
_cell_length_b 8.4027
_cell_length_c 2.8743
_cell_angle_alpha 90.00
_cell_angle_beta 107.65
_cell_angle_gamma 90.00
loop_
_symmetry_equiv_pos_as_xyz
'x,y,z'
loop_
_atom_site_label
_atom_site_fract_x
_atom_site_fract_y
_atom_site_fract_z
Mo1 0.2500 0.2500 0.0000
Mo2 0.2500 0.7500 0.0000
Mo3 0.7500 0.2500 0.0000
Mo4 0.7500 0.7500 0.0000
Ru1 0.0000 0.0000 0.5000
Ru2 0.5000 0.5000 0.5000
Cl1 0.0000 0.5000 0.5000
Cl2 0.5000 0.0000 0.5000
```

***

(12)
CsSi3S after structural relaxation. Source: the Alexandria database, functional GGA-PBE.

- Formation energy without anion corrections: 820 meV per atom
- Total magnetic moment: 0.00 Bohr magnetons per cell
- Space group: Pm-3m (221)

Cell and atoms, written as CIF:
```
data_CsSi3S
_chemical_formula_sum 'Cs1 Si3 S1'
_symmetry_space_group_name_H-M 'P 1'
_symmetry_Int_Tables_number 1
_cell_length_a 5.0785
_cell_length_b 5.0785
_cell_length_c 5.0785
_cell_angle_alpha 90.00
_cell_angle_beta 90.00
_cell_angle_gamma 90.00
loop_
_symmetry_equiv_pos_as_xyz
'x,y,z'
loop_
_atom_site_label
_atom_site_fract_x
_atom_site_fract_y
_atom_site_fract_z
Cs1 0.0000 0.0000 0.0000
Si1 0.0000 0.5000 0.5000
Si2 0.5000 0.0000 0.5000
Si3 0.5000 0.5000 0.0000
S1 0.5000 0.5000 0.5000
```